# CsWCl6

A geometry-optimized CsWCl6 structure (PBE, Alexandria).

Properties
**Formation energy from raw total energies**: -9.42 eV per formula unit
**Energy above the lowest structure with this stoichiometry**: 0.008 eV/atom
**M_tot**: 1.0 Bohr magnetons per cell
**Density of states at the Fermi level**: 6.006 states/eV/f.u.
**SG**: R-3m

a = 6.987 Å, b = 6.987 Å, c = 7.545 Å
α = 62.42°, β = 62.42°, γ = 60.00°
Site moments in Bohr magnetons follow the coordinates.
Atoms (fractional coordinates):
Cs: 0.500 0.500 0.500  0.00
W: 0.000 0.000 0.000  0.78
Cl: 0.912 0.912 0.788  0.01
Cl: 0.388 0.912 0.788  0.01
Cl: 0.088 0.612 0.212  0.01
Cl: 0.612 0.088 0.212  0.01
Cl: 0.088 0.088 0.212  0.01
Cl: 0.912 0.388 0.788  0.01